Density functional theory data (PBE) for Ce2Pu3HfAs6 after structural relaxation.

```
12
Lattice="-1.0224 1.8871 3.5058 -6.4975 -4.9736 0.7823 6.9901 -5.3898 2.5297" Properties=species:S:1:pos:R:3 pbc="T T T"
Ce -0.5055 -5.3751 5.1556
Ce -0.0243 -3.1013 1.6622
Pu -3.7599 -1.5433 2.1441
Pu 2.7109 -2.8129 4.7145
Pu -3.2407 -5.6634 2.1034
Hf -0.5112 0.9435 1.7529
As -1.5929 -7.6170 3.6354
As -2.1504 -3.4620 3.6462
As 1.0631 -0.8593 3.1824
As 4.4142 -4.6405 6.1949
As -4.9440 -3.8358 0.6229
As 1.6206 -5.0144 3.1716
```

Computed properties:
ΔE_f: -1148 meV per atom
DOS(E_F): 3.317 states/eV per atom